No. 1
SrPrDy2: relaxed, GGA-PBE.

Output
**Space-group type**: No. 123
**ΔH_f (0 K)**: 129 meV per atom
**Excess energy over the best structure of this formula in the dataset**: 0.033 eV per formula unit

extended XYZ file:
```
4
Lattice="-3.024 -2.016 -0.848 1.454 -0.772 -3.349 4.664 -8.691 4.027" Properties=species:S:1:pos:R:3 pbc="T T T"
Pr -0.785 -1.394 -2.099
Sr 1.547 -5.739 -0.085
Dy 3.615 -6.737 3.122
Dy 1.049 -1.954 0.906
```

---

No. 2
Mn2NiPtC: relaxed, GGA-PBE.

Output
**Space-group type**: No. 123
**ΔH_f (0 K)**: -50 meV per atom

extended XYZ file:
```
5
Lattice="3.913 0.000 0.000 0.000 3.913 0.000 0.000 0.000 3.834" Properties=species:S:1:pos:R:3 pbc="T T T"
Ni 0.000 0.000 1.917
C 0.000 0.000 0.000
Mn 0.000 1.957 0.000
Mn 1.957 0.000 0.000
Pt 1.957 1.957 1.917
```

---

No. 3
Ti2TlC: relaxed, GGA-PBE.

Output
**Space-group type**: No. 166
**ΔH_f (0 K)**: -552 meV per atom

extended XYZ file:
```
4
Lattice="3.178 0.000 0.000 1.589 2.752 0.000 1.589 0.917 7.103" Properties=species:S:1:pos:R:3 pbc="T T T"
Tl 3.178 1.835 3.551
C 0.000 0.000 0.000
Ti 1.589 0.917 1.099
Ti 4.766 2.752 6.003
```

---

No. 4
SmPu2Nb: relaxed, GGA-PBE.

Output
**Space-group type**: No. 166
**ΔH_f (0 K)**: 428 meV per atom

extended XYZ file:
```
4
Lattice="5.166 0.000 0.000 2.583 4.474 0.000 2.583 1.491 4.232" Properties=species:S:1:pos:R:3 pbc="T T T"
Nb 0.000 0.000 0.000
Sm 5.166 2.983 2.116
Pu 2.583 1.491 1.052
Pu 7.750 4.474 3.180
```

---

No. 5
LiNbF6: relaxed, GGA-PBE.

Output
**Space-group type**: No. 163
**Raw formation energy**: -3.0671 eV per atom

extended XYZ file:
```
16
Lattice="5.215 0.000 0.000 -2.607 4.516 0.000 0.000 0.000 9.580" Properties=species:S:1:pos:R:3 pbc="T T T"
Li 0.000 3.011 2.395
Li 2.607 1.505 7.185
Nb 0.000 0.000 4.790
Nb 0.000 0.000 0.000
F 0.578 1.469 3.663
F 2.030 3.047 5.917
F -1.624 3.281 3.663
F -1.046 4.282 1.127
F 4.231 1.235 5.917
F 3.654 0.235 8.452
F 1.046 4.282 3.663
F -0.578 1.469 1.127
F 1.561 0.235 5.917
F 3.185 3.047 8.452
F 1.624 3.281 1.127
F 0.984 1.235 8.452
```

---

No. 6
AgAu2Cl8: relaxed, GGA-PBE.

Output
**Space-group type**: No. 12
**Raw formation energy**: -0.0413 eV per atom

extended XYZ file:
```
11
Lattice="6.923 0.619 0.470 1.038 7.027 0.314 1.038 2.195 6.683" Properties=species:S:1:pos:R:3 pbc="T T T"
Ag 0.000 0.000 0.000
Au 6.761 7.451 5.654
Au 2.238 2.390 1.813
Cl 2.690 4.276 6.248
Cl 6.310 2.672 5.031
Cl 3.632 7.836 5.945
Cl 5.368 2.005 1.521
Cl 2.690 7.169 2.435
Cl 6.310 5.565 1.219
Cl 6.103 5.724 4.343
Cl 2.896 4.117 3.123
```

---

No. 7
KTc2Cl: relaxed, GGA-PBE.

Output
**Space-group type**: No. 139
**Excess energy over the best structure of this formula in the dataset**: 2.720 eV per formula unit
**Raw formation energy**: 0.7308 eV per atom

extended XYZ file:
```
4
Lattice="8.399 0.013 0.000 6.790 4.943 0.000 -7.595 -2.478 2.593" Properties=species:S:1:pos:R:3 pbc="T T T"
K 4.199 0.007 1.297
Tc 0.000 0.000 0.000
Tc 7.595 2.478 0.000
Cl 3.395 2.472 1.297
```

---

No. 8
MgBiPtO6: relaxed, GGA-PBE.

Output
**Space-group type**: No. 102
**Raw formation energy**: -1.0737 eV per atom

extended XYZ file:
```
18
Lattice="-2.217 3.231 2.733 2.028 -1.897 3.887 7.571 6.042 -1.002" Properties=species:S:1:pos:R:3 pbc="T T T"
Mg 1.165 1.672 3.143
Mg 5.044 4.026 -0.668
Bi 3.681 3.680 2.810
Bi 7.561 6.034 -1.001
Pt 6.209 5.698 2.476
Pt 2.518 2.010 -0.333
O 5.007 2.027 3.181
O 2.304 5.293 2.446
O 7.475 6.439 1.110
O 7.407 6.923 3.515
O 2.565 0.176 3.485
O -0.040 3.323 2.776
O 5.084 4.513 1.351
O 5.011 5.028 3.908
O 4.917 7.168 2.142
O 7.411 4.155 2.821
O 2.340 2.916 4.347
O 2.418 2.366 1.618
```

---

Which magnetic moment belongs to each record? In order, 0.00 6.18 0.00 10.61 0.00 0.00 0.00 0.00 Bohr magnetons per cell.